Below is a geometry-optimized Sc3GaOs2 structure, with properties calculated at the GGA-PBE level.

Unit cell a=3.2885 b=3.2885 c=9.6627 alpha=90.00 beta=90.00 gamma=90.00
Closest atoms and distances in Å follow each position.
Sites, in units of the cell vectors:
Sc 0.0000 0.0000 0.0000  8 Os 2.84, 2 Sc 3.08
Sc 0.0000 0.0000 0.6814  4 Os 2.74, 4 Ga 2.91
Sc 0.0000 0.0000 0.3186  4 Os 2.74, 4 Ga 2.91
Ga 0.5000 0.5000 0.5000  8 Sc 2.91, 2 Os 3.21
Os 0.5000 0.5000 0.8322  8 Sc 2.74-2.84
Os 0.5000 0.5000 0.1678  8 Sc 2.74-2.84

Energy of formation from the pure elements: -0.5226 eV/atom
DFT total energy: -0.292 Ha/atom

Below is a geometry-optimized Rb3PuU2O9 structure, with properties calculated at the GGA-PBE level.

Unit cell a=6.1597 b=6.1597 c=7.5442 alpha=90.00 beta=90.00 gamma=120.00
Closest atoms and distances in Å follow each position.
Sites, in units of the cell vectors:
Rb 0.3333 0.6667 0.6651  12 O 3.08-3.09
Rb 0.0000 0.0000 0.0000  12 O 3.07-3.08
Rb 0.6667 0.3333 0.3349  12 O 3.08-3.09
Pu 0.0000 0.0000 0.5000  6 O 2.25
U 0.3333 0.6667 0.1676  6 O 2.10-2.18
U 0.6667 0.3333 0.8324  6 O 2.10-2.18
O 0.8285 0.1715 0.6730  1 U 2.10, 1 Pu 2.25
O 0.8285 0.6569 0.6730  1 U 2.10, 1 Pu 2.25
O 0.3431 0.1715 0.6730  1 U 2.10, 1 Pu 2.25
O 0.6569 0.8285 0.3270  1 U 2.10, 1 Pu 2.25
O 0.1715 0.3431 0.3270  1 U 2.10, 1 Pu 2.25
O 0.1715 0.8285 0.3270  1 U 2.10, 1 Pu 2.25
O 0.5000 0.0000 0.0000  2 U 2.18
O 0.0000 0.5000 0.0000  2 U 2.18
O 0.5000 0.5000 0.0000  2 U 2.18

Energy relative to the elements, uncorrected: -2.79 eV/atom
DFT total energy: -0.310 Ha/atom

Below is a geometry-optimized BaNdAgS3 structure, with properties calculated at the GGA-PBE level.

Unit cell a=7.2557 b=7.2557 c=10.6447 alpha=90.00 beta=90.00 gamma=146.23
Closest atoms and distances in Å follow each position.
Sites, in units of the cell vectors:
Ba 0.2522 0.7478 0.2500  6 S 3.14-3.35
Ba 0.7478 0.2522 0.7500  6 S 3.14-3.35
Nd 0.0000 0.0000 0.5000  6 S 2.88-2.89
Nd 0.0000 0.0000 0.0000  6 S 2.88-2.89
Ag 0.5281 0.4719 0.2500  4 S 2.53-2.59
Ag 0.4719 0.5281 0.7500  4 S 2.53-2.59
S 0.6357 0.3643 0.4421  1 Ag 2.53
S 0.3643 0.6357 0.5579  1 Ag 2.53
S 0.6357 0.3643 0.0579  1 Ag 2.53
S 0.3643 0.6357 0.9421  1 Ag 2.53
S 0.9202 0.0798 0.2500  2 Ag 2.59, 2 Nd 2.88
S 0.0798 0.9202 0.7500  2 Ag 2.59, 2 Nd 2.88

Energy relative to the elements, uncorrected: -1.62 eV/atom
DFT total energy: -0.194 Ha/atom

Question: What is the formula in the first record?
Answer: Sc3GaOs2

Question: Which value of DFT total energy does entry 3 give?
Answer: -0.194 Ha/atom